Record 1
Entry from the Alexandria database: a relaxed Ba3Tc4 crystal (GGA-PBE).

Cell and atoms, written as CIF:
```
data_Ba3Tc4
_chemical_formula_sum 'Ba6 Tc8'
_cell_length_a 3.5159
_cell_length_b 3.5159
_cell_length_c 31.9272
_cell_angle_alpha 90.00
_cell_angle_beta 90.00
_cell_angle_gamma 90.00
_symmetry_space_group_name_H-M 'I 4/m m m'
_symmetry_Int_Tables_number 139
_symmetry_space_group_name_Hall '-I 4 2'
loop_
_atom_site_label
_atom_site_fract_x
_atom_site_fract_y
_atom_site_fract_z
Ba1 0.0000 0.0000 0.0000
Ba2 0.0000 0.0000 0.3145
Tc1 0.0000 0.0000 0.1016
Tc2 0.0000 0.0000 0.4119
```

Summary:
Energy of formation: 0.5980 eV/atom
Total magnetic moment: 0.4 μB/f.u.

***

Record 2
Entry from the Alexandria database: a relaxed BaZnReSi2 crystal (GGA-PBE).

Cell and atoms, written as CIF:
```
data_BaZnReSi2
_chemical_formula_sum 'Ba1 Zn1 Re1 Si2'
_cell_length_a 4.7194
_cell_length_b 4.7194
_cell_length_c 5.0200
_cell_angle_alpha 90.00
_cell_angle_beta 90.00
_cell_angle_gamma 90.00
_symmetry_space_group_name_H-M 'P 4/m m m'
_symmetry_Int_Tables_number 123
_symmetry_space_group_name_Hall '-P 4 2'
loop_
_atom_site_label
_atom_site_fract_x
_atom_site_fract_y
_atom_site_fract_z
Ba1 0.0000 0.0000 0.0000
Zn1 0.5000 0.5000 0.0000
Re1 0.5000 0.5000 0.5000
Si1 0.0000 0.5000 0.5000
```

Summary:
Total magnetic moment: 0.0 μB/f.u.
Raw formation energy: -1.0 eV/f.u.

***

Record 3
Entry from the Alexandria database: a relaxed Tb4PCl5 crystal (GGA-PBE).

Cell and atoms, written as CIF:
```
data_Tb4PCl5
_chemical_formula_sum 'Tb8 P2 Cl10'
_cell_length_a 17.3858
_cell_length_b 3.9216
_cell_length_c 8.0004
_cell_angle_alpha 90.00
_cell_angle_beta 103.39
_cell_angle_gamma 90.00
_symmetry_space_group_name_H-M 'C 1 2/m 1'
_symmetry_Int_Tables_number 12
_symmetry_space_group_name_Hall '-C 2y'
loop_
_atom_site_label
_atom_site_fract_x
_atom_site_fract_y
_atom_site_fract_z
Tb1 0.9999 0.0000 0.2258
Tb2 0.1535 0.5000 0.0858
P1 0.0000 0.5000 0.0000
Cl1 0.0000 0.5000 0.5000
Cl2 0.1658 0.0000 0.3311
Cl3 0.1723 0.0000 0.8465
```

Summary:
Total magnetic moment: 0.0 μB/f.u.
Raw formation energy: -18.7 eV/f.u.

***

Number 1: DOS at the Fermi energy 12.177 states/eV/cell, E_tot -6.15 eV per atom. Number 2: DOS at the Fermi energy 1.174 states/eV/cell, E_tot -5.50 eV per atom. Number 3: DOS at the Fermi energy 5.363 states/eV/cell, E_tot -5.18 eV per atom.